Here is LiSc4Au after structural relaxation from Alexandria. Energies are from PBE.

Structure (extended XYZ):
```
6
Lattice="0.000 4.075 4.075 4.075 0.000 4.075 4.075 4.075 0.000" Properties=species:S:1:pos:R:3 pbc="T T T"
Li 0.000 0.000 0.000
Sc 5.086 3.065 3.065
Sc 3.065 5.086 3.065
Sc 3.065 3.065 5.086
Sc 5.086 5.086 5.086
Au 2.038 2.038 2.038
```

Results
Formation enthalpy at 0 K   25.1 kJ per mole of atoms
Electronic total energy   -29.0 eV/cell
SG   F-43m, No. 216


Here is AlInP after structural relaxation from Alexandria. Energies are from PBE.

Structure (extended XYZ):
```
6
Lattice="6.443 0.000 0.000 0.000 3.792 0.000 -2.318 0.000 6.301" Properties=species:S:1:pos:R:3 pbc="T T T"
Al 0.000 0.000 0.000
Al -1.169 1.896 3.189
In 2.875 1.896 1.863
In 1.451 0.000 5.766
P 0.336 1.896 1.362
P -0.794 0.000 4.506
```

Results
Polymorph energy (0 for the lowest one)   0.009 eV/atom
Formation enthalpy at 0 K   -13.4 kJ per mole of atoms
Electronic total energy   -24.6 eV/cell
SG   Pm, No. 6


Here is KAgAsF2 after structural relaxation from Alexandria. Energies are from PBE.

Structure (extended XYZ):
```
5
Lattice="4.299 0.000 0.000 0.000 4.299 0.000 0.000 0.000 7.129" Properties=species:S:1:pos:R:3 pbc="T T T"
K 0.000 0.000 0.000
Ag 2.149 2.149 0.000
As 0.000 0.000 3.565
F 0.000 2.149 3.565
F 2.149 0.000 3.565
```

Results
Electronic total energy   -15.7 eV/cell
Raw formation energy   -0.673 eV/atom
SG   P4/mmm, No. 123